1.
The following is a DFT calculation (PBE) of crystalline La6NiSe2I3 at its relaxed geometry.

Geometry as CIF:
```
data_La6NiSe2I3
_chemical_formula_sum 'La12 Ni2 Se4 I6'
_cell_length_a 7.547
_cell_length_b 13.022
_cell_length_c 8.156
_cell_angle_alpha 90.00
_cell_angle_beta 108.09
_cell_angle_gamma 90.00
_symmetry_space_group_name_H-M 'C 1 2/m 1'
_symmetry_Int_Tables_number 12
_symmetry_space_group_name_Hall '-C 2y'
loop_
_atom_site_label
_atom_site_type_symbol
_atom_site_fract_x
_atom_site_fract_y
_atom_site_fract_z
La1 La 0.225 0.158 0.200
La2 La 0.247 0.500 0.207
Ni1 Ni 0.000 0.000 0.000
Se1 Se 0.000 0.334 0.000
I1 I 0.000 0.175 0.500
I2 I 0.000 0.500 0.500
```

The density of states at the Fermi level is 0.8943 states/eV per atom. The value obtained for the total magnetization is 0.0 μB per formula unit. For the theoretical density, the calculation gives 6.24 g cm⁻³. The energy relative to the elements, uncorrected comes out at -1.25 eV per atom.

2.
The following is a DFT calculation (PBE) of crystalline La2NiSeI at its relaxed geometry.

Geometry as CIF:
```
data_La2NiSeI
_chemical_formula_sum 'La2 Ni1 Se1 I1'
_cell_length_a 5.954
_cell_length_b 5.954
_cell_length_c 4.510
_cell_angle_alpha 90.00
_cell_angle_beta 90.00
_cell_angle_gamma 90.00
_symmetry_space_group_name_H-M 'P 4/m m m'
_symmetry_Int_Tables_number 123
_symmetry_space_group_name_Hall '-P 4 2'
loop_
_atom_site_label
_atom_site_type_symbol
_atom_site_fract_x
_atom_site_fract_y
_atom_site_fract_z
La1 La 0.000 0.500 0.000
Ni1 Ni 0.000 0.000 0.500
Se1 Se 0.500 0.500 0.500
I1 I 0.000 0.000 0.000
```

The density of states at the Fermi level is 0.9079 states/eV per atom. The value obtained for the total magnetization is 0.0 μB per formula unit. For the theoretical density, the calculation gives 5.63 g cm⁻³. The energy relative to the elements, uncorrected comes out at -0.22 eV per atom.

3.
The following is a DFT calculation (PBE) of crystalline La4SiNiI2 at its relaxed geometry.

Geometry as CIF:
```
data_La4SiNiI2
_chemical_formula_sum 'La4 Si1 Ni1 I2'
_cell_length_a 7.787
_cell_length_b 4.208
_cell_length_c 8.239
_cell_angle_alpha 90.00
_cell_angle_beta 106.72
_cell_angle_gamma 90.00
_symmetry_space_group_name_H-M 'P 1 2/m 1'
_symmetry_Int_Tables_number 10
_symmetry_space_group_name_Hall '-P 2y'
loop_
_atom_site_label
_atom_site_type_symbol
_atom_site_fract_x
_atom_site_fract_y
_atom_site_fract_z
La1 La 0.214 0.000 0.185
La2 La 0.265 0.500 0.796
Si1 Si 0.500 0.000 0.000
Ni1 Ni 0.000 0.500 0.000
I1 I 0.000 0.000 0.500
I2 I 0.500 0.500 0.500
```

The density of states at the Fermi level is 0.9260 states/eV per atom. The value obtained for the total magnetization is 0.0 μB per formula unit. For the theoretical density, the calculation gives 5.75 g cm⁻³. The energy relative to the elements, uncorrected comes out at -0.83 eV per atom.

4.
The following is a DFT calculation (PBE) of crystalline La6SiNi2I3 at its relaxed geometry.

Geometry as CIF:
```
data_La6SiNi2I3
_chemical_formula_sum 'La12 Si2 Ni4 I6'
_cell_length_a 7.281
_cell_length_b 13.336
_cell_length_c 8.326
_cell_angle_alpha 90.00
_cell_angle_beta 107.08
_cell_angle_gamma 90.00
_symmetry_space_group_name_H-M 'C 1 2/m 1'
_symmetry_Int_Tables_number 12
_symmetry_space_group_name_Hall '-C 2y'
loop_
_atom_site_label
_atom_site_type_symbol
_atom_site_fract_x
_atom_site_fract_y
_atom_site_fract_z
La1 La 0.229 0.000 0.201
La2 La 0.245 0.170 0.814
Si1 Si 0.000 0.500 0.000
Ni1 Ni 0.000 0.169 0.000
I1 I 0.000 0.000 0.500
I2 I 0.000 0.335 0.500
```

The density of states at the Fermi level is 1.1312 states/eV per atom. The value obtained for the total magnetization is 0.0 μB per formula unit. For the theoretical density, the calculation gives 5.84 g cm⁻³. The energy relative to the elements, uncorrected comes out at -0.78 eV per atom.

5.
The following is a DFT calculation (PBE) of crystalline LaTbNiI at its relaxed geometry.

Geometry as CIF:
```
data_LaTbNiI
_chemical_formula_sum 'La3 Tb3 Ni3 I3'
_cell_length_a 4.1027
_cell_length_b 4.1027
_cell_length_c 24.1881
_cell_angle_alpha 90.00
_cell_angle_beta 90.00
_cell_angle_gamma 120.00
_symmetry_space_group_name_H-M 'R 3 m'
_symmetry_Int_Tables_number 160
_symmetry_space_group_name_Hall 'R 3 -2"'
loop_
_atom_site_label
_atom_site_type_symbol
_atom_site_fract_x
_atom_site_fract_y
_atom_site_fract_z
La1 La 0.0000 0.0000 0.0000
Tb1 Tb 0.0000 0.0000 0.2118
Ni1 Ni 0.0000 0.0000 0.6040
I1 I 0.0000 0.0000 0.7773
```

The density of states at the Fermi level is 0.9319 states/eV per atom. The value obtained for the total magnetization is 0.0 μB per formula unit. For the theoretical density, the calculation gives 6.83 g cm⁻³. The energy relative to the elements, uncorrected comes out at -0.70 eV per atom.

6.
The following is a DFT calculation (PBE) of crystalline La6TlNi2I3 at its relaxed geometry.

Geometry as CIF:
```
data_La6TlNi2I3
_chemical_formula_sum 'La12 Tl2 Ni4 I6'
_cell_length_a 20.123
_cell_length_b 4.468
_cell_length_c 9.499
_cell_angle_alpha 90.00
_cell_angle_beta 109.73
_cell_angle_gamma 90.00
_symmetry_space_group_name_H-M 'C 1 2/m 1'
_symmetry_Int_Tables_number 12
_symmetry_space_group_name_Hall '-C 2y'
loop_
_atom_site_label
_atom_site_type_symbol
_atom_site_fract_x
_atom_site_fract_y
_atom_site_fract_z
La1 La 0.032 0.000 0.259
La2 La 0.167 0.500 0.134
La3 La 0.187 0.500 0.561
Tl1 Tl 0.000 0.500 0.000
Ni1 Ni 0.173 0.000 0.346
I1 I 0.000 0.500 0.500
I2 I 0.158 0.000 0.837
```

The density of states at the Fermi level is 0.8005 states/eV per atom. The value obtained for the total magnetization is 0.0 μB per formula unit. For the theoretical density, the calculation gives 6.34 g cm⁻³. The energy relative to the elements, uncorrected comes out at -0.70 eV per atom.